No. 1
Li3Ag6Pd | PBE | relaxed

a b c (Å): 9.8842 13.2836 5.2572
angles (deg): 90.00 90.00 90.00
Last column: nearest neighbours and their distance in Å.
Space group Cmc2_1 (No. 36)
Asymmetric unit:
Li1 0.0000 0.1325 0.0000 [4 per cell]  1 Pd 2.50, 2 Ag 2.68
Li2 0.1820 0.3982 0.3048 [8 per cell]  1 Pd 2.55, 6 Ag 2.61-2.75
Ag1 0.0000 0.2370 0.5090 [4 per cell]  2 Pd 2.80-2.91, 7 Ag 2.82-3.04, 4 Li 2.93-3.01
Ag2 0.0000 0.4596 0.6443 [4 per cell]  4 Li 2.66-2.74, 1 Pd 2.71, 2 Ag 2.84
Ag3 0.1408 0.0399 0.4711 [8 per cell]  3 Li 2.61-2.71, 4 Ag 2.75-2.83
Ag4 0.2450 0.2945 0.7419 [8 per cell]  3 Li 2.68-2.99, 5 Ag 2.75-2.92, 1 Pd 2.85
Pd1 0.0000 0.3206 0.0211 [4 per cell]  3 Li 2.50-2.55, 2 Ag 2.71-2.80

Computed properties:
Total DFT energy (no corrections) in eV/f.u.: -28.91
E above lowest polymorph in eV per atom: 0.000
Calculated formation energy in meV per atom: -87

No. 2
Li4Ag7Pd | PBE | relaxed

a b c (Å): 5.0006 5.7142 7.5016
angles (deg): 101.10 108.23 90.06
Last column: nearest neighbours and their distance in Å.
Space group P-1 (No. 2)
Asymmetric unit:
Li1 0.1785 0.4230 0.1734 [2 per cell]  9 Ag 2.78-2.90, 3 Li 2.91-2.95
Li2 0.3174 0.8411 0.8220 [2 per cell]  1 Pd 2.76, 8 Ag 2.80-2.94, 3 Li 2.91-2.97
Ag1 0.0000 0.5000 0.5000 [1 per cell]  4 Li 2.82, 2 Pd 2.86, 6 Ag 2.88-2.91
Ag2 0.1653 0.9158 0.1596 [2 per cell]  5 Ag 2.79-2.91, 6 Li 2.81-2.90, 1 Pd 2.88
Ag3 0.3317 0.3346 0.8414 [2 per cell]  6 Li 2.78-2.94, 5 Ag 2.80-2.91, 1 Pd 2.90
Ag4 0.4995 0.2491 0.4993 [2 per cell]  3 Li 2.80-2.83, 7 Ag 2.85-2.91, 2 Pd 2.88
Pd1 0.0000 0.0000 0.5000 [1 per cell]  2 Li 2.76, 10 Ag 2.86-2.90

Computed properties:
Total DFT energy (no corrections) in eV/f.u.: -34.94
E above lowest polymorph in eV per atom: 0.000
Calculated formation energy in meV per atom: -178

No. 3
Li3Ag7Pd2 | PBE | relaxed

a b c (Å): 4.2468 26.0964 3.8860
angles (deg): 90.00 90.00 90.00
Last column: nearest neighbours and their distance in Å.
Space group Cmmm (No. 65)
Asymmetric unit:
Li1 0.0000 0.0000 0.0000 [2 per cell]  12 Ag 2.85-2.96
Li2 0.0000 0.1544 0.0000 [4 per cell]  6 Ag 2.60-2.90, 4 Pd 2.88
Ag1 0.0000 0.0800 0.5000 [4 per cell]  4 Li 2.75-2.85, 6 Ag 2.88-2.98, 2 Pd 2.89
Ag2 0.0000 0.2206 0.5000 [4 per cell]  2 Li 2.60, 2 Ag 2.62, 2 Pd 2.72
Ag3 0.0000 0.4210 0.0000 [4 per cell]  2 Pd 2.78, 6 Ag 2.83-2.88, 4 Li 2.90-2.96
Ag4 0.0000 0.5000 0.5000 [2 per cell]  8 Ag 2.83-2.98, 4 Li 2.88
Pd1 0.0000 0.3447 0.5000 [4 per cell]  6 Ag 2.72-2.89, 4 Li 2.88

Computed properties:
Total DFT energy (no corrections) in eV/f.u.: -36.79
Calculated formation energy in meV per atom: -59

No. 4
Li5Ag2Pd3 | PBE | relaxed

a b c (Å): 10.0379 12.7702 5.1078
angles (deg): 90.00 90.00 90.00
Last column: nearest neighbours and their distance in Å.
Space group Ibam (No. 72)
Asymmetric unit:
Li1 0.0000 0.0000 0.2500 [4 per cell]  4 Pd 2.47, 4 Li 2.55
Li2 0.0623 0.3379 0.0000 [8 per cell]  3 Pd 2.41-2.51, 1 Ag 2.69
Li3 0.2459 0.5000 0.2500 [8 per cell]  1 Pd 2.47, 3 Li 2.55
Ag1 0.1798 0.2189 0.5000 [8 per cell]  2 Li 2.69-2.87, 4 Pd 2.83-2.86
Pd1 0.0000 0.5000 0.2500 [4 per cell]  6 Li 2.47-2.51, 2 Pd 2.55
Pd2 0.0882 0.1505 0.0000 [8 per cell]  3 Li 2.41-2.47

Computed properties:
Total DFT energy (no corrections) in eV/f.u.: -32.39
Calculated formation energy in meV per atom: -154

No. 5
Li4Ag3Pd | PBE | relaxed

a b c (Å): 3.0351 3.0351 13.2868
angles (deg): 90.00 90.00 90.00
Last column: nearest neighbours and their distance in Å.
Space group P4/mmm (No. 123)
Asymmetric unit:
Li1 0.0000 0.0000 0.1103 [2 per cell]  4 Pd 2.60, 4 Ag 2.74
Li2 0.0000 0.0000 0.3690 [2 per cell]  8 Ag 2.76, 4 Li 3.04
Ag1 0.5000 0.5000 0.2388 [2 per cell]  8 Li 2.74-2.76, 4 Ag 3.04
Ag2 0.5000 0.5000 0.5000 [1 per cell]  8 Li 2.76, 4 Ag 3.04
Pd1 0.5000 0.5000 0.0000 [1 per cell]  8 Li 2.60

Computed properties:
Total DFT energy (no corrections) in eV/f.u.: -23.55
E above lowest polymorph in eV per atom: 0.000
Calculated formation energy in meV per atom: -269

No. 6
LiAgPd3 | PBE | relaxed

a b c (Å): 4.2833 4.2833 4.2833
angles (deg): 90.00 90.00 90.00
Last column: nearest neighbours and their distance in Å.
Space group Pm-3m (No. 221)
Asymmetric unit:
Li1 0.0000 0.0000 0.0000 [1 per cell]  6 Pd 2.14
Ag1 0.5000 0.5000 0.5000 [1 per cell]  12 Pd 3.03
Pd1 0.0000 0.0000 0.5000 [3 per cell]  2 Li 2.14

Computed properties:
Total DFT energy (no corrections) in eV/f.u.: -19.10
E above lowest polymorph in eV per atom: 0.441
Calculated formation energy in meV per atom: 248

No. 7
Li5AgPd4 | PBE | relaxed

a b c (Å): 3.0283 3.0283 15.0205
angles (deg): 90.00 90.00 90.00
Last column: nearest neighbours and their distance in Å.
Space group P4/mmm (No. 123)
Asymmetric unit:
Li1 0.0000 0.0000 0.0000 [1 per cell]  8 Pd 2.60
Li2 0.0000 0.0000 0.1945 [2 per cell]  8 Pd 2.59-2.61
Li3 0.0000 0.0000 0.3882 [2 per cell]  4 Pd 2.56, 4 Ag 2.72
Ag1 0.5000 0.5000 0.5000 [1 per cell]  8 Li 2.72, 4 Ag 3.03
Pd1 0.5000 0.5000 0.0979 [2 per cell]  8 Li 2.59-2.60
Pd2 0.5000 0.5000 0.2943 [2 per cell]  8 Li 2.56-2.61

Computed properties:
Total DFT energy (no corrections) in eV/f.u.: -37.06
Calculated formation energy in meV per atom: -387

No. 8
LiAg2Pd3 | PBE | relaxed

a b c (Å): 5.2873 5.2873 7.9880
angles (deg): 90.00 90.00 120.00
Last column: nearest neighbours and their distance in Å.
Space group P6_3/mmc (No. 194)
Asymmetric unit:
Li1 0.0000 0.0000 0.0000 [2 per cell]  6 Pd 2.52
Ag1 0.3333 0.6667 0.0698 [4 per cell]  1 Ag 2.88, 9 Pd 2.97-3.01, 3 Li 3.10
Pd1 0.1682 0.3365 0.7500 [6 per cell]  2 Li 2.52, 4 Pd 2.62-2.67

Computed properties:
Total DFT energy (no corrections) in eV/f.u.: -23.85
E above lowest polymorph in eV per atom: 0.000
Calculated formation energy in meV per atom: -110

No. 9
Li5Ag4Pd2 | PBE | relaxed

a b c (Å): 6.9794 2.8497 9.1499
angles (deg): 90.00 93.54 90.00
Last column: nearest neighbours and their distance in Å.
Space group P2/m (No. 10)
Asymmetric unit:
Li1 0.0000 0.0000 0.0000 [1 per cell]  4 Ag 2.75, 6 Li 2.81-2.87
Li2 0.0792 0.0000 0.3113 [2 per cell]  1 Pd 2.51, 2 Ag 2.77
Li3 0.3280 0.0000 0.8365 [2 per cell]  1 Pd 2.49
Ag1 0.2101 0.5000 0.5648 [2 per cell]  6 Li 2.77-2.94, 3 Ag 2.85-3.09, 4 Pd 2.89-2.92
Ag2 0.3168 0.5000 0.1021 [2 per cell]  8 Li 2.75-2.97, 2 Pd 2.82, 2 Ag 2.85
Pd1 0.4374 0.0000 0.3579 [2 per cell]  2 Li 2.49-2.51, 1 Pd 2.69

Computed properties:
Total DFT energy (no corrections) in eV/f.u.: -33.48
Calculated formation energy in meV per atom: -193

No. 10
LiPmAgPd | PBE | relaxed

a b c (Å): 6.9550 6.9550 6.9550
angles (deg): 90.00 90.00 90.00
Last column: nearest neighbours and their distance in Å.
Space group F-43m (No. 216)
Asymmetric unit:
Li1 0.0000 0.0000 0.0000 [4 per cell]  4 Pd 3.01, 4 Ag 3.01
Pm1 0.0000 0.0000 0.5000 [4 per cell]  4 Pd 3.01, 4 Ag 3.01
Ag1 0.2500 0.2500 0.7500 [4 per cell]  4 Li 3.01, 4 Pm 3.01
Pd1 0.2500 0.2500 0.2500 [4 per cell]  4 Li 3.01, 4 Pm 3.01

Computed properties:
Total DFT energy (no corrections) in eV/f.u.: -16.22
Calculated formation energy in meV per atom: -378

No. 11
LiPmAgPd2 | PBE | relaxed

a b c (Å): 3.8684 3.8684 13.1981
angles (deg): 90.00 90.00 90.00
Last column: nearest neighbours and their distance in Å.
Space group I-4m2 (No. 119)
Asymmetric unit:
Li1 0.0000 0.0000 0.0000 [2 per cell]  4 Ag 2.74, 4 Pd 2.75
Pm1 0.0000 0.5000 0.7500 [2 per cell]  8 Pd 3.05
Ag1 0.0000 0.0000 0.5000 [2 per cell]  4 Li 2.74, 4 Pd 2.75
Pd1 0.0000 0.5000 0.1477 [4 per cell]  1 Pd 2.70, 2 Li 2.75, 2 Ag 2.75

Computed properties:
Total DFT energy (no corrections) in eV/f.u.: -22.45
Calculated formation energy in meV per atom: -509

No. 12
Li2Pr2AgPd5 | PBE | relaxed

a b c (Å): 9.5657 9.5657 3.8999
angles (deg): 90.00 90.00 90.00
Last column: nearest neighbours and their distance in Å.
Space group P4/mbm (No. 127)
Asymmetric unit:
Li1 0.1151 0.3849 0.0000 [4 per cell]  6 Pd 2.50-2.62, 1 Pr 2.73
Pr1 0.1830 0.6830 0.0000 [4 per cell]  3 Li 2.73-2.92
Ag1 0.0000 0.0000 0.0000 [2 per cell]  8 Pd 2.86
Pd1 0.0000 0.5000 0.5000 [2 per cell]  4 Li 2.50
Pd2 0.0646 0.2096 0.5000 [8 per cell]  2 Li 2.62, 1 Pd 2.85, 2 Ag 2.86

Computed properties:
Total DFT energy (no corrections) in eV/f.u.: -47.61
Calculated formation energy in meV per atom: -541

No. 13
LiPrAgPd2 | PBE | relaxed

a b c (Å): 3.9290 3.9290 13.0701
angles (deg): 90.00 90.00 90.00
Last column: nearest neighbours and their distance in Å.
Space group I-4m2 (No. 119)
Asymmetric unit:
Li1 0.0000 0.0000 0.0000 [2 per cell]  4 Pd 2.74, 4 Ag 2.78
Pr1 0.0000 0.5000 0.2500 [2 per cell]  8 Pd 3.09
Ag1 0.0000 0.0000 0.5000 [2 per cell]  4 Pd 2.74, 4 Li 2.78
Pd1 0.0000 0.5000 0.6466 [4 per cell]  1 Pd 2.70, 2 Li 2.74, 2 Ag 2.74

Computed properties:
Total DFT energy (no corrections) in eV/f.u.: -22.42
Calculated formation energy in meV per atom: -498

No. 14
LiAgPd2Pt | PBE | relaxed

a b c (Å): 4.8859 4.8859 4.1827
angles (deg): 90.00 90.00 90.00
Last column: nearest neighbours and their distance in Å.
Space group P4/mmm (No. 123)
Asymmetric unit:
Li1 0.0000 0.0000 0.0000 [1 per cell]  2 Ag 2.09
Ag1 0.0000 0.0000 0.5000 [1 per cell]  2 Li 2.09
Pd1 0.0000 0.5000 0.5000 [2 per cell]  2 Ag 2.44
Pt1 0.5000 0.5000 0.0000 [1 per cell]  8 Pd 3.22, 4 Li 3.45

Computed properties:
Total DFT energy (no corrections) in eV/f.u.: -16.84
Calculated formation energy in meV per atom: 871

No. 15
Li2AgPd5Pt | PBE | relaxed

a b c (Å): 6.8712 6.8712 11.3995
angles (deg): 90.00 90.00 90.00
Last column: nearest neighbours and their distance in Å.
Space group I4/mcm (No. 140)
Asymmetric unit:
Li1 0.0982 0.4018 0.0000 [8 per cell]  1 Li 1.91
Ag1 0.0000 0.5000 0.2500 [4 per cell]  4 Pd 2.62
Pd1 0.0000 0.0000 0.0000 [4 per cell]  4 Li 2.84, 8 Pd 2.85, 2 Pt 2.85
Pd2 0.2287 0.2713 0.3710 [16 per cell]  1 Li 2.23
Pt1 0.0000 0.0000 0.2500 [4 per cell]  10 Pd 2.80-2.85

Computed properties:
Total DFT energy (no corrections) in eV/f.u.: -39.04
Calculated formation energy in meV per atom: -39

No. 16
LiPuAgPd | PBE | relaxed

a b c (Å): 6.9080 6.9080 6.9080
angles (deg): 90.00 90.00 90.00
Last column: nearest neighbours and their distance in Å.
Space group F-43m (No. 216)
Asymmetric unit:
Li1 0.0000 0.0000 0.0000 [4 per cell]  4 Pd 2.99, 4 Ag 2.99
Pu1 0.0000 0.0000 0.5000 [4 per cell]  4 Ag 2.99, 4 Pd 2.99
Ag1 0.2500 0.2500 0.2500 [4 per cell]  4 Li 2.99, 4 Pu 2.99
Pd1 0.2500 0.2500 0.7500 [4 per cell]  4 Pu 2.99, 4 Li 2.99

Computed properties:
Total DFT energy (no corrections) in eV/f.u.: -24.67
Calculated formation energy in meV per atom: -95

No. 17
Li2PuAgPd2 | PBE | relaxed

a b c (Å): 4.3382 4.3382 6.5472
angles (deg): 90.00 90.00 120.00
Last column: nearest neighbours and their distance in Å.
Space group P-3m1 (No. 164)
Asymmetric unit:
Li1 0.3333 0.6667 0.1455 [2 per cell]  4 Pd 2.62-2.67, 3 Ag 2.68
Pu1 0.0000 0.0000 0.5000 [1 per cell]  6 Pd 2.95, 2 Ag 3.27
Ag1 0.0000 0.0000 0.0000 [1 per cell]  6 Li 2.68
Pd1 0.3333 0.6667 0.7377 [2 per cell]  4 Li 2.62-2.67

Computed properties:
Total DFT energy (no corrections) in eV/f.u.: -33.19
Calculated formation energy in meV per atom: -299

No. 18
RbLiAgPd2 | PBE | relaxed

a b c (Å): 5.2980 5.2980 5.8950
angles (deg): 90.00 90.00 90.00
Last column: nearest neighbours and their distance in Å.
Space group P4/mmm (No. 123)
Asymmetric unit:
Rb1 0.0000 0.0000 0.0000 [1 per cell]  4 Pd 2.65, 2 Ag 2.95
Li1 0.5000 0.5000 0.5000 [1 per cell]  4 Ag 3.75, 8 Pd 3.96
Ag1 0.0000 0.0000 0.5000 [1 per cell]  2 Rb 2.95
Pd1 0.0000 0.5000 0.0000 [2 per cell]  2 Rb 2.65

Computed properties:
Total DFT energy (no corrections) in eV/f.u.: -10.41
Calculated formation energy in meV per atom: 1142

No. 19
Li2AgPdRh | PBE | relaxed

a b c (Å): 4.4561 4.4561 4.8904
angles (deg): 90.00 90.00 90.00
Last column: nearest neighbours and their distance in Å.
Space group P4/mmm (No. 123)
Asymmetric unit:
Li1 0.0000 0.5000 0.0000 [2 per cell]  2 Pd 2.23
Ag1 0.0000 0.0000 0.5000 [1 per cell]  4 Rh 3.15, 8 Li 3.31
Pd1 0.5000 0.5000 0.0000 [1 per cell]  4 Li 2.23, 2 Rh 2.45
Rh1 0.5000 0.5000 0.5000 [1 per cell]  2 Pd 2.45

Computed properties:
Total DFT energy (no corrections) in eV/f.u.: -17.06
Calculated formation energy in meV per atom: 433

No. 20
LiScAgPd | PBE | relaxed

a b c (Å): 3.2731 3.2731 6.3786
angles (deg): 90.00 90.00 90.00
Last column: nearest neighbours and their distance in Å.
Space group P4mm (No. 99)
Asymmetric unit:
Li1 0.0000 0.0000 0.0000 [1 per cell]  4 Ag 2.75, 4 Pd 2.75, 1 Sc 2.99
Sc1 0.0000 0.0000 0.4687 [1 per cell]  4 Pd 2.76, 1 Li 2.99, 4 Ag 3.00
Ag1 0.5000 0.5000 0.7686 [1 per cell]  4 Li 2.75, 1 Pd 2.96, 4 Sc 3.00
Pd1 0.5000 0.5000 0.2322 [1 per cell]  4 Li 2.75, 4 Sc 2.76, 1 Ag 2.96

Computed properties:
Total DFT energy (no corrections) in eV/f.u.: -18.27
Calculated formation energy in meV per atom: -496

No. 21
LiAgPdSe | PBE | relaxed

a b c (Å): 6.4399 6.4399 6.4399
angles (deg): 90.00 90.00 90.00
Last column: nearest neighbours and their distance in Å.
Space group F-43m (No. 216)
Asymmetric unit:
Li1 0.0000 0.0000 0.0000 [4 per cell]  4 Ag 2.79, 4 Se 2.79
Ag1 0.2500 0.2500 0.7500 [4 per cell]  4 Li 2.79, 4 Pd 2.79
Pd1 0.0000 0.0000 0.5000 [4 per cell]  4 Se 2.79, 4 Ag 2.79
Se1 0.2500 0.2500 0.2500 [4 per cell]  4 Li 2.79, 4 Pd 2.79

Computed properties:
Total DFT energy (no corrections) in eV/f.u.: -14.80
Raw formation energy in meV/atom: -338

No. 22
LiSiAgPd | PBE | relaxed

a b c (Å): 6.1017 6.1017 6.1017
angles (deg): 90.00 90.00 90.00
Last column: nearest neighbours and their distance in Å.
Space group F-43m (No. 216)
Asymmetric unit:
Li1 0.0000 0.0000 0.0000 [4 per cell]  4 Pd 2.64, 4 Ag 2.64
Si1 0.0000 0.0000 0.5000 [4 per cell]  4 Pd 2.64, 4 Ag 2.64
Ag1 0.2500 0.2500 0.7500 [4 per cell]  4 Li 2.64, 4 Si 2.64
Pd1 0.2500 0.2500 0.2500 [4 per cell]  4 Li 2.64, 4 Si 2.64

Computed properties:
Total DFT energy (no corrections) in eV/f.u.: -16.81
Raw formation energy in meV/atom: -358

No. 23
Li2Sm2AgPd5 | PBE | relaxed

a b c (Å): 9.4971 9.4971 3.8534
angles (deg): 90.00 90.00 90.00
Last column: nearest neighbours and their distance in Å.
Space group P4/mbm (No. 127)
Asymmetric unit:
Li1 0.1155 0.3845 0.0000 [4 per cell]  6 Pd 2.47-2.59, 1 Sm 2.71
Sm1 0.1827 0.6827 0.0000 [4 per cell]  3 Li 2.71-2.90
Ag1 0.0000 0.0000 0.0000 [2 per cell]  8 Pd 2.84
Pd1 0.0000 0.5000 0.5000 [2 per cell]  4 Li 2.47
Pd2 0.0662 0.2096 0.5000 [8 per cell]  2 Li 2.59, 1 Pd 2.83, 2 Ag 2.84

Computed properties:
Total DFT energy (no corrections) in eV/f.u.: -47.75
Calculated formation energy in meV per atom: -567